This record from Alexandria describes a relaxed Pr2RhO crystal. The functional is GGA-PBE.

Unit cell a=3.729 b=3.729 c=21.408 alpha=90.00 beta=90.00 gamma=120.00
Element x y z (fractional)
Pr 0.000 0.000 0.000
Pr 0.000 0.000 0.156
Pr 0.333 0.667 0.667
Pr 0.333 0.667 0.823
Pr 0.667 0.333 0.333
Pr 0.667 0.333 0.489
Rh 0.000 0.000 0.577
Rh 0.333 0.667 0.244
Rh 0.667 0.333 0.910
O 0.000 0.000 0.404
O 0.333 0.667 0.071
O 0.667 0.333 0.738

Computed properties:
The calculation puts the volume at 21.49 Å³/atom. The excess energy over the best structure of this formula in the dataset comes out at 131 meV per atom.


This record from Alexandria describes a relaxed K2ScCd3F12 crystal. The functional is GGA-PBE.

Unit cell a=8.009 b=8.009 c=8.009 alpha=58.40 beta=58.40 gamma=58.40
Element x y z (fractional)
K 0.100 0.100 0.100
K 0.900 0.900 0.900
Sc 0.500 0.500 0.500
Cd 0.000 0.500 0.500
Cd 0.500 0.000 0.500
Cd 0.500 0.500 0.000
F 0.159 0.159 0.591
F 0.159 0.591 0.159
F 0.195 0.566 0.566
F 0.409 0.841 0.841
F 0.434 0.434 0.805
F 0.434 0.805 0.434
F 0.566 0.195 0.566
F 0.566 0.566 0.195
F 0.591 0.159 0.159
F 0.805 0.434 0.434
F 0.841 0.409 0.841
F 0.841 0.841 0.409

Computed properties:
The calculation puts the volume at 19.44 Å³/atom. As for the calculated total energy: -4.445 eV/atom.


This record from Alexandria describes a relaxed Ru2IBr crystal. The functional is GGA-PBE.

Unit cell a=3.011 b=3.595 c=8.517 alpha=90.00 beta=90.00 gamma=90.00
Element x y z (fractional)
Ru 0.000 0.000 0.000
Ru 0.500 0.500 0.141
I 0.500 0.000 0.377
Br 0.000 0.500 0.791

Computed properties:
The calculation puts the volume at 23.04 Å³/atom. The excess energy over the best structure of this formula in the dataset comes out at 215 meV per atom.


This record from Alexandria describes a relaxed ZrCo2Pd crystal. The functional is GGA-PBE.

Unit cell a=6.135 b=6.135 c=6.135 alpha=90.00 beta=90.00 gamma=90.00
Element x y z (fractional)
Zr 0.000 0.000 0.000
Zr 0.000 0.500 0.500
Zr 0.500 0.000 0.500
Zr 0.500 0.500 0.000
Co 0.250 0.250 0.250
Co 0.250 0.250 0.750
Co 0.250 0.750 0.250
Co 0.250 0.750 0.750
Co 0.750 0.250 0.250
Co 0.750 0.250 0.750
Co 0.750 0.750 0.250
Co 0.750 0.750 0.750
Pd 0.000 0.000 0.500
Pd 0.000 0.500 0.000
Pd 0.500 0.000 0.000
Pd 0.500 0.500 0.500

Computed properties:
The formation energy is -51 kJ/mol of formula units. The calculation puts the volume at 14.43 Å³/atom.


This record from Alexandria describes a relaxed Li2Ac2NpN4 crystal. The functional is GGA-PBE.

Unit cell a=6.683 b=6.683 c=6.174 alpha=108.84 beta=108.84 gamma=30.53
Element x y z (fractional)
Li 0.180 0.180 0.009
Li 0.820 0.820 0.991
Ac 0.360 0.360 0.425
Ac 0.640 0.640 0.575
Np 0.500 0.500 0.000
N 0.027 0.027 0.777
N 0.298 0.298 0.797
N 0.702 0.702 0.203
N 0.973 0.973 0.223

Computed properties:
The calculation puts the volume at 14.67 Å³/atom. As for the calculated total energy: -7.269 eV/atom.


This record from Alexandria describes a relaxed LiThH8Ir2 crystal. The functional is GGA-PBE.

Unit cell a=6.084 b=6.084 c=6.084 alpha=45.66 beta=45.66 gamma=45.66
Element x y z (fractional)
Li 0.000 0.000 0.000
Th 0.500 0.500 0.500
H 0.090 0.682 0.375
H 0.187 0.187 0.187
H 0.318 0.625 0.910
H 0.375 0.090 0.682
H 0.625 0.910 0.318
H 0.682 0.375 0.090
H 0.813 0.813 0.813
H 0.910 0.318 0.625
Ir 0.292 0.292 0.292
Ir 0.708 0.708 0.708

Computed properties:
The calculation puts the volume at 8.75 Å³/atom. As for the calculated total energy: -4.696 eV/atom.


This record from Alexandria describes a relaxed CaCuSe2 crystal. The functional is GGA-PBE.

Unit cell a=6.809 b=4.128 c=6.580 alpha=90.00 beta=106.38 gamma=90.00
Element x y z (fractional)
Ca 0.000 0.000 0.000
Ca 0.500 0.500 0.000
Cu 0.000 0.500 0.500
Cu 0.500 0.000 0.500
Se 0.242 0.500 0.284
Se 0.258 0.000 0.716
Se 0.742 0.000 0.284
Se 0.758 0.500 0.716

Computed properties:
The calculation puts the volume at 22.18 Å³/atom. As for the calculated total energy: -4.096 eV/atom.


This record from Alexandria describes a relaxed Sr2LaCu crystal. The functional is GGA-PBE.

Unit cell a=4.058 b=4.058 c=32.489 alpha=90.00 beta=90.00 gamma=120.00
Element x y z (fractional)
Sr 0.000 0.000 0.229
Sr 0.000 0.000 0.771
Sr 0.333 0.667 0.438
Sr 0.333 0.667 0.895
Sr 0.667 0.333 0.105
Sr 0.667 0.333 0.562
La 0.000 0.000 0.000
La 0.333 0.667 0.667
La 0.667 0.333 0.333
Cu 0.000 0.000 0.500
Cu 0.333 0.667 0.167
Cu 0.667 0.333 0.833

Computed properties:
The formation energy is 61 kJ/mol of formula units. The calculation puts the volume at 38.62 Å³/atom. The excess energy over the best structure of this formula in the dataset comes out at 144 meV per atom.